## BeSeN2 (GGA-PBE)

Data for a relaxed BeSeN2 crystal.

The structure in POSCAR format:
```
BeSeN2
1.0
1.612 0.931 5.286
-1.612 0.931 5.286
0.000 -1.861 5.286
Be Se N
1 1 2
Cartesian
0.000 0.000 0.000 Be
0.000 0.000 7.929 Se
0.000 0.000 1.534 N
0.000 0.000 14.324 N
```

Computed properties:
- E_form (uncorrected): 0.666 eV per atom
- Size of the total moment: 0.00 μB per cell
- Polymorph energy (0 for the lowest one): 0.52 eV per formula unit

---

## BeSnSeN2 (GGA-PBE)

Data for a relaxed BeSnSeN2 crystal.

The structure in POSCAR format:
```
BeSnSeN2
1.0
3.845 0.000 0.000
0.000 3.845 0.000
0.000 0.000 4.933
Be Sn Se N
1 1 1 2
Cartesian
0.000 0.000 0.000 Be
1.922 1.922 2.467 Sn
0.000 0.000 2.467 Se
0.000 1.922 0.000 N
1.922 0.000 0.000 N
```

Computed properties:
- E_form (uncorrected): 1.101 eV per atom
- Size of the total moment: 2.85 μB per cell
- Polymorph energy (0 for the lowest one): 0.00 eV per formula unit

---

## BeSnSe2N (GGA-PBE)

Data for a relaxed BeSnSe2N crystal.

The structure in POSCAR format:
```
BeSnSe2N
1.0
5.276 0.000 0.000
0.000 5.276 0.000
0.000 0.000 3.191
Be Sn Se N
1 1 2 1
Cartesian
0.000 0.000 0.000 Be
2.638 2.638 1.596 Sn
0.000 2.638 0.000 Se
2.638 0.000 0.000 Se
0.000 0.000 1.596 N
```

Computed properties:
- E_form (uncorrected): 0.289 eV per atom
- Size of the total moment: 0.45 μB per cell
- Polymorph energy (0 for the lowest one): 0.00 eV per formula unit

---

## BeSnSe2N (GGA-PBE)

Data for a relaxed BeSnSe2N crystal.

The structure in POSCAR format:
```
BeSnSe2N
1.0
5.335 0.000 0.000
0.000 5.335 0.000
0.000 0.000 3.994
Be Sn Se N
1 1 2 1
Cartesian
0.000 0.000 0.000 Be
2.667 2.667 1.997 Sn
0.000 2.667 1.997 Se
2.667 0.000 1.997 Se
2.667 2.667 0.000 N
```

Computed properties:
- E_form (uncorrected): 1.158 eV per atom
- Size of the total moment: 1.24 μB per cell
- Polymorph energy (0 for the lowest one): 4.34 eV per formula unit

---

## BeSnSeN2 (GGA-PBE)

Data for a relaxed BeSnSeN2 crystal.

The structure in POSCAR format:
```
BeSnSeN2
1.0
3.996 0.000 0.000
0.000 3.996 0.000
0.000 0.000 5.944
Be Sn Se N
1 1 1 2
Cartesian
0.000 0.000 0.000 Be
1.998 1.998 2.972 Sn
1.998 1.998 0.000 Se
0.000 1.998 2.972 N
1.998 0.000 2.972 N
```

Computed properties:
- E_form (uncorrected): 1.483 eV per atom
- Size of the total moment: 2.05 μB per cell
- Polymorph energy (0 for the lowest one): 1.91 eV per formula unit

---

## TaBeSeN2 (GGA-PBE)

Data for a relaxed TaBeSeN2 crystal.

The structure in POSCAR format:
```
TaBeSeN2
1.0
3.923 0.000 0.000
0.000 3.923 0.000
0.000 0.000 5.525
Ta Be Se N
1 1 1 2
Cartesian
0.000 0.000 0.000 Ta
1.961 1.961 2.763 Be
0.000 0.000 2.763 Se
0.000 1.961 0.000 N
1.961 0.000 0.000 N
```

Computed properties:
- E_form (uncorrected): 0.419 eV per atom
- Size of the total moment: 0.44 μB per cell
- Polymorph energy (0 for the lowest one): 0.00 eV per formula unit

---

## TaBeSeN2 (GGA-PBE)

Data for a relaxed TaBeSeN2 crystal.

The structure in POSCAR format:
```
TaBeSeN2
1.0
3.615 0.000 0.000
0.000 3.615 0.000
0.000 0.000 4.509
Ta Be Se N
1 1 1 2
Cartesian
0.000 0.000 0.000 Ta
1.808 1.808 2.254 Be
1.808 1.808 0.000 Se
0.000 1.808 2.254 N
1.808 0.000 2.254 N
```

Computed properties:
- E_form (uncorrected): 0.962 eV per atom
- Size of the total moment: 0.00 μB per cell
- Polymorph energy (0 for the lowest one): 2.71 eV per formula unit

---

## BeTcSe2N (GGA-PBE)

Data for a relaxed BeTcSe2N crystal.

The structure in POSCAR format:
```
BeTcSe2N
1.0
5.029 0.000 0.000
0.000 5.029 0.000
0.000 0.000 3.673
Be Tc Se N
1 1 2 1
Cartesian
0.000 0.000 0.000 Be
2.515 2.515 1.836 Tc
0.000 2.515 1.836 Se
2.515 0.000 1.836 Se
2.515 2.515 0.000 N
```

Computed properties:
- E_form (uncorrected): 0.620 eV per atom
- Size of the total moment: 0.00 μB per cell
- Polymorph energy (0 for the lowest one): 0.00 eV per formula unit

---

## BeTcSeN2 (GGA-PBE)

Data for a relaxed BeTcSeN2 crystal.

The structure in POSCAR format:
```
BeTcSeN2
1.0
3.565 0.000 0.000
0.000 3.565 0.000
0.000 0.000 4.669
Be Tc Se N
1 1 1 2
Cartesian
0.000 0.000 0.000 Be
1.783 1.783 2.335 Tc
0.000 0.000 2.335 Se
0.000 1.783 0.000 N
1.783 0.000 0.000 N
```

Computed properties:
- E_form (uncorrected): 1.320 eV per atom
- Size of the total moment: 0.75 μB per cell
- Polymorph energy (0 for the lowest one): 3.10 eV per formula unit

---

## BeTcSe2N (GGA-PBE)

Data for a relaxed BeTcSe2N crystal.

The structure in POSCAR format:
```
BeTcSe2N
1.0
4.833 0.000 0.000
0.000 4.833 0.000
0.000 0.000 3.078
Be Tc Se N
1 1 2 1
Cartesian
0.000 0.000 0.000 Be
2.416 2.416 1.539 Tc
0.000 2.416 0.000 Se
2.416 0.000 0.000 Se
0.000 0.000 1.539 N
```

Computed properties:
- E_form (uncorrected): 0.650 eV per atom
- Size of the total moment: 1.88 μB per cell
- Polymorph energy (0 for the lowest one): 0.15 eV per formula unit

---

## BeTcSeN2 (GGA-PBE)

Data for a relaxed BeTcSeN2 crystal.

The structure in POSCAR format:
```
BeTcSeN2
1.0
3.758 0.000 0.000
0.000 3.758 0.000
0.000 0.000 5.522
Be Tc Se N
1 1 1 2
Cartesian
0.000 0.000 0.000 Be
1.879 1.879 2.761 Tc
1.879 1.879 0.000 Se
0.000 1.879 2.761 N
1.879 0.000 2.761 N
```

Computed properties:
- E_form (uncorrected): 0.699 eV per atom
- Size of the total moment: 0.05 μB per cell
- Polymorph energy (0 for the lowest one): 0.00 eV per formula unit

---

## BeTeSeN2 (GGA-PBE)

Data for a relaxed BeTeSeN2 crystal.

The structure in POSCAR format:
```
BeTeSeN2
1.0
3.695 0.000 0.000
0.000 3.695 0.000
0.000 0.000 7.903
Be Te Se N
1 1 1 2
Cartesian
0.000 0.000 0.000 Be
1.847 1.847 0.000 Te
1.847 1.847 3.951 Se
0.000 1.847 3.951 N
1.847 0.000 3.951 N
```

Computed properties:
- E_form (uncorrected): 1.555 eV per atom
- Size of the total moment: 0.00 μB per cell
- Polymorph energy (0 for the lowest one): 1.11 eV per formula unit

---

Repeat the tenth record exactly.
## BeTcSe2N (GGA-PBE)

Data for a relaxed BeTcSe2N crystal.

The structure in POSCAR format:
```
BeTcSe2N
1.0
4.833 0.000 0.000
0.000 4.833 0.000
0.000 0.000 3.078
Be Tc Se N
1 1 2 1
Cartesian
0.000 0.000 0.000 Be
2.416 2.416 1.539 Tc
0.000 2.416 0.000 Se
2.416 0.000 0.000 Se
0.000 0.000 1.539 N
```

Computed properties:
- E_form (uncorrected): 0.650 eV per atom
- Size of the total moment: 1.88 μB per cell
- Polymorph energy (0 for the lowest one): 0.15 eV per formula unit

---

Among the records above, which one has the lowest E_form (uncorrected)? number 3